# 1
Material: AlRe2Os
Method: DFT, PBE
State: optimized geometry

Cell and atoms, written as POSCAR:
```
AlRe2Os
1.0
5.1260 0.0011 -0.0005
2.3506 4.5553 0.0005
-3.2108 -3.1438 2.4664
Re Os Al
2 1 1
Cartesian
7.4673 4.5507 0.0000 Re
2.7602 -0.4728 1.2329 Re
1.5277 1.8988 1.2335 Os
3.7257 2.2705 0.0000 Al
```

Summary:
As for the calculated formation energy: -0.03 eV/atom. The spin magnetization is 0.000 μB/atom.

=====

# 2
Material: ScSe3
Method: DFT, PBE
State: optimized geometry

Cell and atoms, written as POSCAR:
```
ScSe3
1.0
4.5719 -0.1958 0.0000
-1.2277 4.4083 0.0000
0.0000 0.0000 4.3924
Sc Se
1 3
Cartesian
0.0000 0.0000 0.0000 Sc
-0.6138 2.2042 2.1962 Se
2.2859 -0.0979 2.1962 Se
1.6721 2.1063 0.0000 Se
```

Summary:
The spin magnetization is 0.000 μB/atom. The uncorrected formation energy comes out at -410 meV/atom.

=====

# 3
Material: Ce3Nd2ThTe6
Method: DFT, PBE
State: optimized geometry

Cell and atoms, written as POSCAR:
```
Ce3Nd2ThTe6
1.0
-1.2453 -2.6042 3.4065
8.6595 -1.3904 2.1026
-1.7924 9.2524 3.4918
Ce Nd Th Te
3 2 1 6
Cartesian
3.7071 -1.9973 2.7545 Ce
-0.7974 3.7687 5.5160 Ce
6.4192 1.4890 3.4849 Ce
3.5479 3.0812 6.5787 Nd
2.0740 2.1766 2.4221 Nd
-0.6226 -1.3021 1.7033 Th
6.3298 4.0182 5.3857 Te
3.6280 0.5412 4.6663 Te
-0.7079 1.2395 3.6151 Te
-0.8627 6.2954 7.4237 Te
6.4845 -1.0376 1.5772 Te
1.9938 4.7166 4.3346 Te
```

Summary:
The spin magnetization is 0.290 μB/atom. The uncorrected formation energy comes out at -1330 meV/atom.

=====

# 4
Material: LiSm4Ru2
Method: DFT, PBE
State: optimized geometry

Cell and atoms, written as POSCAR:
```
LiSm4Ru2
1.0
-1.2598 -4.7916 -0.4525
1.8542 -3.3684 3.1571
-5.9721 -1.5571 5.7661
Li Sm Ru
1 4 2
Cartesian
0.0000 0.0000 0.0000 Li
-1.7890 -7.7108 4.5837 Sm
-3.5887 -2.0063 3.8870 Sm
-0.4557 -5.2794 2.4748 Sm
-4.9220 -4.4376 5.9959 Sm
-4.0824 -7.2785 6.3918 Ru
-1.2953 -2.4385 2.0789 Ru
```

Summary:
As for the calculated formation energy: -0.21 eV/atom. The calculation puts the offset from the most stable computed form at 0 meV per atom. The spin magnetization is 0.000 μB/atom.

=====

# 5
Material: Dy2Ni3Ge4Pt
Method: DFT, PBE
State: optimized geometry

Cell and atoms, written as POSCAR:
```
Dy2Ni3Ge4Pt
1.0
4.1215 0.0000 0.0000
0.0000 4.1215 0.0000
0.0000 0.0000 9.8117
Dy Ni Ge Pt
2 3 4 1
Cartesian
2.0607 0.0000 2.4053 Dy
0.0000 2.0607 7.4064 Dy
0.0000 0.0000 4.9059 Ni
2.0607 0.0000 8.6182 Ni
0.0000 2.0607 1.1935 Ni
2.0607 2.0607 0.0000 Ge
0.0000 0.0000 0.0000 Ge
2.0607 0.0000 6.3036 Ge
0.0000 2.0607 3.5081 Ge
2.0607 2.0607 4.9059 Pt
```

Summary:
As for the calculated formation energy: -0.74 eV/atom. The spin magnetization is 0.000 μB/atom.